[1]
Entry from the Alexandria database: a relaxed Nd4Se3N2 crystal (PBE).

## Properties
- Uncorrected energy: -6.87 eV per atom
- ΔE_f (raw): -1.74 eV/atom
- Relative energy among the computed polymorphs: 0.000 eV per atom

```
data_Nd4Se3N2
_chemical_formula_sum 'Nd8 Se6 N4'
_space_group_name_H-M_alt 'C 1 2/m 1'
_space_group_IT_number 12
_space_group_name_Hall '-C 2y'
_cell_length_a 13.854
_cell_length_b 4.094
_cell_length_c 10.733
_cell_angle_alpha 90.00
_cell_angle_beta 130.16
_cell_angle_gamma 90.00
loop_
_atom_site_label
_atom_site_type_symbol
_atom_site_fract_x
_atom_site_fract_y
_atom_site_fract_z
Nd1 Nd 0.114 0.000 0.361
Nd2 Nd 0.208 0.500 0.149
Se1 Se 0.000 0.000 0.000
Se2 Se 0.108 0.500 0.771
N1 N 0.211 0.500 0.361
```



[2]
Entry from the Alexandria database: a relaxed CaPm2PrTe4 crystal (PBE).

## Properties
- Uncorrected energy: -5.07 eV per atom
- ΔE_f (raw): -1.46 eV/atom

```
data_CaPm2PrTe4
_chemical_formula_sum 'Ca1 Pm2 Pr1 Te4'
_space_group_name_H-M_alt 'P 1 2/m 1'
_space_group_IT_number 10
_space_group_name_Hall '-P 2y'
_cell_length_a 7.783
_cell_length_b 4.454
_cell_length_c 7.813
_cell_angle_alpha 90.00
_cell_angle_beta 108.96
_cell_angle_gamma 90.00
loop_
_atom_site_label
_atom_site_type_symbol
_atom_site_fract_x
_atom_site_fract_y
_atom_site_fract_z
Ca1 Ca 0.000 0.000 0.000
Pm1 Pm 0.500 0.000 0.500
Pm2 Pm 0.500 0.500 0.000
Pr1 Pr 0.000 0.500 0.500
Te1 Te 0.249 0.500 0.246
Te2 Te 0.251 0.000 0.755
```



uncorrected energy of number 1 (Nd4Se3N2)? -6.87 eV per atom



The lowest ΔE_f (raw) belongs to which entry? Nd4Se3N2